No. 1
A relaxed CdRe2W crystal. Source: the Alexandria database, functional PBE.

Computed properties:
Formation energy: 0.6322 eV/atom
Size of the total moment: 0.0 μB/cell
N(E_F): 3.1 states/eV/f.u.
SG: P4/mmm, No. 123
Electronic total energy: -9.059 eV per atom

Lattice parameters (Å, degrees): 3.257 4.462 4.462 90.00 90.00 90.00
Sites, in units of the cell vectors:
1 Re 0.000 0.000 0.000
2 Re 0.000 0.500 0.500
3 W 0.500 0.500 0.000
4 Cd 0.500 0.000 0.500

---

No. 2
A relaxed La2ZrTi crystal. Source: the Alexandria database, functional PBE.

Computed properties:
Formation energy: 0.6527 eV/atom
Size of the total moment: 3.9 μB/cell
N(E_F): 5.9 states/eV/f.u.
ΔE to the lowest computed polymorph: 311 meV/atom
SG: I-42d, No. 122
Electronic total energy: -5.922 eV per atom

Lattice parameters (Å, degrees): 8.455 8.455 6.756 51.26 51.26 90.00
Each line ends with the local moment (μB).
Sites, in units of the cell vectors:
1 Ti 0.500 0.500 0.000  1.18
2 Ti 0.250 0.750 0.500  1.17
3 Zr 0.000 0.000 0.000  0.09
4 Zr 0.750 0.250 0.500  0.09
5 La 0.611 0.125 0.250  0.13
6 La 0.139 0.625 0.250  0.13
7 La 0.375 0.389 0.750  0.13
8 La 0.875 0.861 0.750  0.13

---

No. 3
A relaxed HfZr2Rh crystal. Source: the Alexandria database, functional PBE.

Computed properties:
Formation energy: -0.4285 eV/atom
Size of the total moment: 0.0 μB/cell
N(E_F): 3.9 states/eV/f.u.
ΔE to the lowest computed polymorph: 0 meV/atom
SG: P2_1/m, No. 11
Electronic total energy: -9.029 eV per atom

Lattice parameters (Å, degrees): 3.281 5.609 9.409 90.00 90.00 106.98
Sites, in units of the cell vectors:
1 Hf 0.924 0.848 0.250
2 Hf 0.076 0.152 0.750
3 Zr 0.368 0.738 0.546
4 Zr 0.632 0.262 0.454
5 Zr 0.368 0.738 0.954
6 Zr 0.632 0.262 0.046
7 Rh 0.775 0.550 0.750
8 Rh 0.225 0.450 0.250

---

No. 4
A relaxed LaMgZn2Ni2 crystal. Source: the Alexandria database, functional PBE.

Computed properties:
Formation energy: -0.3073 eV/atom
Size of the total moment: 0.0 μB/cell
N(E_F): 1.7 states/eV/f.u.
SG: P-3m1, No. 164
Electronic total energy: -3.746 eV per atom

Lattice parameters (Å, degrees): 4.286 4.286 6.799 90.00 90.00 120.00
Sites, in units of the cell vectors:
1 La 0.000 0.000 0.000
2 Mg 0.000 0.000 0.500
3 Zn 0.667 0.333 0.687
4 Zn 0.333 0.667 0.313
5 Ni 0.667 0.333 0.301
6 Ni 0.333 0.667 0.699

---

No. 5
A relaxed Zn5Mo crystal. Source: the Alexandria database, functional PBE.

Computed properties:
Formation energy: 0.0251 eV/atom
Size of the total moment: 0.0 μB/cell
N(E_F): 1.6 states/eV/f.u.
ΔE to the lowest computed polymorph: 0 meV/atom
SG: Cmmm, No. 65
Electronic total energy: -2.842 eV per atom

Lattice parameters (Å, degrees): 6.155 6.155 3.917 90.00 90.00 143.80
Sites, in units of the cell vectors:
1 Mo 0.972 0.028 0.000
2 Zn 0.808 0.192 0.500
3 Zn 0.642 0.358 0.000
4 Zn 0.472 0.528 0.500
5 Zn 0.302 0.698 0.000
6 Zn 0.137 0.863 0.500

---

No. 6
A relaxed Ti7Hg2C2 crystal. Source: the Alexandria database, functional PBE.

Computed properties:
Formation energy: -0.0877 eV/atom
Size of the total moment: 0.7 μB/cell
N(E_F): 9.0 states/eV/f.u.
SG: Cmmm, No. 65
Electronic total energy: -6.844 eV per atom

Lattice parameters (Å, degrees): 5.466 6.219 5.466 90.00 104.99 90.00
Each line ends with the local moment (μB).
Sites, in units of the cell vectors:
1 Ti 0.000 0.217 0.500  -0.04
2 Ti 0.500 0.783 0.000  -0.04
3 Ti 0.000 0.783 0.500  -0.04
4 Ti 0.500 0.217 0.000  -0.04
5 Ti 0.000 0.000 0.000  -0.06
6 Ti 0.500 0.799 0.500  0.43
7 Ti 0.500 0.201 0.500  0.43
8 Hg 0.799 0.500 0.799  0.00
9 Hg 0.201 0.500 0.201  0.00
10 C 0.735 0.000 0.265  -0.01
11 C 0.265 0.000 0.735  -0.01

---

No. 7
A relaxed Sr2MnCr crystal. Source: the Alexandria database, functional PBE.

Computed properties:
Formation energy: 0.7254 eV/atom
Size of the total moment: 8.5 μB/cell
N(E_F): 4.3 states/eV/f.u.
ΔE to the lowest computed polymorph: 248 meV/atom
SG: P2/m, No. 10
Electronic total energy: -4.814 eV per atom

Lattice parameters (Å, degrees): 3.963 3.941 8.881 63.85 90.00 90.00
Each line ends with the local moment (μB).
Sites, in units of the cell vectors:
1 Cr 0.500 0.250 0.250  3.98
2 Mn 0.500 0.750 0.750  3.91
3 Sr 0.000 0.005 0.994  -0.03
4 Sr 0.000 0.495 0.506  -0.03

---

No. 8
A relaxed Pm2MgGe3Pd4 crystal. Source: the Alexandria database, functional PBE.

Computed properties:
Formation energy: -0.8068 eV/atom
Size of the total moment: 0.0 μB/cell
N(E_F): 5.6 states/eV/f.u.
SG: P-4m2, No. 115
Electronic total energy: -5.379 eV per atom

Lattice parameters (Å, degrees): 4.311 4.311 10.465 90.00 90.00 90.00
Sites, in units of the cell vectors:
1 Pm 0.500 0.000 0.240
2 Pm 0.000 0.500 0.760
3 Mg 0.500 0.500 0.500
4 Ge 0.000 0.000 0.500
5 Ge 0.500 0.000 0.870
6 Ge 0.000 0.500 0.130
7 Pd 0.500 0.500 0.000
8 Pd 0.000 0.000 0.000
9 Pd 0.500 0.000 0.637
10 Pd 0.000 0.500 0.363

---

No. 9
A relaxed Y2PtPb crystal. Source: the Alexandria database, functional PBE.

Computed properties:
Formation energy: -0.1565 eV/atom
Size of the total moment: 0.0 μB/cell
N(E_F): 1.8 states/eV/f.u.
SG: I-42d, No. 122
Electronic total energy: -5.826 eV per atom

Lattice parameters (Å, degrees): 6.136 6.136 8.786 69.56 69.56 90.00
Sites, in units of the cell vectors:
1 Pb 0.000 0.000 0.000
2 Pb 0.750 0.250 0.500
3 Y 0.582 0.125 0.250
4 Y 0.168 0.625 0.250
5 Y 0.375 0.418 0.750
6 Y 0.875 0.832 0.750
7 Pt 0.500 0.500 0.000
8 Pt 0.250 0.750 0.500

---

No. 10
A relaxed VIn3Pd12 crystal. Source: the Alexandria database, functional PBE.

Computed properties:
Formation energy: -0.4020 eV/atom
Size of the total moment: 0.0 μB/cell
N(E_F): 11.7 states/eV/f.u.
SG: P4/mmm, No. 123
Electronic total energy: -5.380 eV per atom

Lattice parameters (Å, degrees): 3.989 3.989 16.075 90.00 90.00 90.00
Sites, in units of the cell vectors:
1 V 0.000 0.000 0.000
2 In 0.000 0.000 0.247
3 In 0.000 0.000 0.500
4 In 0.000 0.000 0.753
5 Pd 0.500 0.500 0.000
6 Pd 0.500 0.500 0.243
7 Pd 0.500 0.500 0.500
8 Pd 0.500 0.500 0.757
9 Pd 0.500 0.000 0.114
10 Pd 0.500 0.000 0.372
11 Pd 0.500 0.000 0.628
12 Pd 0.500 0.000 0.886
13 Pd 0.000 0.500 0.114
14 Pd 0.000 0.500 0.372
15 Pd 0.000 0.500 0.628
16 Pd 0.000 0.500 0.886

---

No. 11
A relaxed NaHg2Sb crystal. Source: the Alexandria database, functional PBE.

Computed properties:
Size of the total moment: 0.0 μB/cell
N(E_F): 1.5 states/eV/f.u.
Raw formation energy: -0.13 eV per atom
SG: Immm, No. 71
Electronic total energy: -1.639 eV per atom

Lattice parameters (Å, degrees): 4.677 9.957 11.559 115.51 101.67 90.00
Sites, in units of the cell vectors:
1 Na 0.696 0.696 0.391
2 Na 0.500 0.276 0.000
3 Na 0.500 0.724 0.000
4 Na 0.304 0.304 0.609
5 Hg 0.931 0.431 0.863
6 Hg 0.711 0.354 0.422
7 Hg 0.711 0.068 0.422
8 Hg 0.289 0.646 0.578
9 Hg 0.070 0.070 0.140
10 Hg 0.069 0.569 0.137
11 Hg 0.930 0.930 0.860
12 Hg 0.289 0.932 0.578
13 Sb 0.858 0.604 0.716
14 Sb 0.142 0.396 0.284
15 Sb 0.142 0.888 0.284
16 Sb 0.858 0.112 0.716

---

No. 12
A relaxed AcEuDyCd crystal. Source: the Alexandria database, functional PBE.

Computed properties:
Formation energy: 0.0698 eV/atom
Size of the total moment: 7.3 μB/cell
N(E_F): 5.3 states/eV/f.u.
SG: F-43m, No. 216
Electronic total energy: -4.905 eV per atom

Lattice parameters (Å, degrees): 5.750 5.750 5.750 60.00 60.00 60.00
Each line ends with the local moment (μB).
Sites, in units of the cell vectors:
1 Eu 0.000 0.000 0.000  -6.87
2 Ac 0.250 0.250 0.250  -0.07
3 Cd 0.750 0.750 0.750  0.01
4 Dy 0.500 0.500 0.500  -0.06